Record 1
Here is a geometry-optimized Ba2YNbS structure from Alexandria via LeMat-Bulk. Energies are from PBE.

The structure belongs to space group P4/mmm (No. 123); the cell edges are 6.4532, 6.4532 and 4.8817 Å and the angles 90.00°, 90.00° and 90.00°. The asymmetric unit holds Ba at (0.0000, 0.5000, 0.0000), Y at (0.0000, 0.0000, 0.0000), Nb at (0.0000, 0.0000, 0.5000) and S at (0.5000, 0.5000, 0.5000).

The total magnetization is 0.248 μB per atom. Its electronic total energy is -20.07 eV for the cell shown.

=====

Record 2
Here is a geometry-optimized BaZrNb2S8 structure from Alexandria via LeMat-Bulk. Energies are from PBE.

The structure belongs to space group R-3 (No. 148, hexagonal axes); the cell edges are 6.3702, 6.3702 and 26.5794 Å and the angles 90.00°, 90.00° and 120.00°. The asymmetric unit holds Ba at (0.0000, 0.0000, 0.0000), Zr at (0.0000, 0.0000, 0.5000), Nb at (0.0000, 0.0000, 0.2457), S at (0.0000, 0.0000, 0.3295) and S at (0.0031, 0.3546, 0.7755).

The total magnetization is 0.000 μB per atom. Its electronic total energy is -230.82 eV for the cell shown.

=====

Record 3
Here is a geometry-optimized Ba2Nb2Sb structure from Alexandria via LeMat-Bulk. Energies are from PBE.

The structure belongs to space group I4/mmm (No. 139); the cell edges are 3.8063, 3.8063 and 22.7077 Å and the angles 90.00°, 90.00° and 90.00°. The asymmetric unit holds Ba at (0.0000, 0.0000, 0.1021), Nb at (0.0000, 0.5000, 0.2500) and Sb at (0.0000, 0.0000, 0.5000).

The total magnetization is 0.000 μB per atom. Its electronic total energy is -54.12 eV for the cell shown. The calculation puts the energy above the most stable polymorph in this dataset at 0 meV/atom.

=====

Record 4
Here is a geometry-optimized BaNbSb3 structure from Alexandria via LeMat-Bulk. Energies are from PBE.

The structure belongs to space group Pm-3m (No. 221); the cell edges are 5.4686, 5.4686 and 5.4686 Å and the angles 90.00°, 90.00° and 90.00°. The asymmetric unit holds Ba at (0.0000, 0.0000, 0.0000), Nb at (0.5000, 0.5000, 0.5000) and Sb at (0.0000, 0.5000, 0.5000).

The total magnetization is 0.000 μB per atom. Its electronic total energy is -25.79 eV for the cell shown.

=====

Record 5
Here is a geometry-optimized Ba2Nb2Sb structure from Alexandria via LeMat-Bulk. Energies are from PBE.

The structure belongs to space group P4/mbm (No. 127); the cell edges are 9.4711, 9.4711 and 3.6527 Å and the angles 90.00°, 90.00° and 90.00°. The asymmetric unit holds Ba at (0.1321, 0.3679, 0.0000), Nb at (0.1771, 0.6771, 0.5000) and Sb at (0.0000, 0.0000, 0.0000).

The total magnetization is 1.239 μB per atom. Its electronic total energy is -42.70 eV for the cell shown. The calculation puts the energy above the most stable polymorph in this dataset at 1142 meV/atom.

=====

Record 6
Here is a geometry-optimized Ba2NbSb2 structure from Alexandria via LeMat-Bulk. Energies are from PBE.

The structure belongs to space group I4/mmm (No. 139); the cell edges are 4.4389, 4.4389 and 15.8356 Å and the angles 90.00°, 90.00° and 90.00°. The asymmetric unit holds Ba at (0.0000, 0.5000, 0.2500), Nb at (0.0000, 0.0000, 0.0000) and Sb at (0.0000, 0.0000, 0.4129).

The total magnetization is 0.000 μB per atom. Its electronic total energy is -38.52 eV for the cell shown. The calculation puts the energy above the most stable polymorph in this dataset at 920 meV/atom.

=====

Record 7
Here is a geometry-optimized BaNb2Sb structure from Alexandria via LeMat-Bulk. Energies are from PBE.

The structure belongs to space group I-42d (No. 122); the cell edges are 8.4734, 8.4734 and 6.2189 Å and the angles 90.00°, 90.00° and 90.00°. The asymmetric unit holds Ba at (0.0000, 0.0000, 0.0000), Nb at (0.1899, 0.2500, 0.6250) and Sb at (0.0000, 0.0000, 0.5000).

The total magnetization is 0.000 μB per atom. Its electronic total energy is -90.79 eV for the cell shown.

=====

Record 8
Here is a geometry-optimized BaNbSb2 structure from Alexandria via LeMat-Bulk. Energies are from PBE.

The structure belongs to space group Fm-3m (No. 225); the cell edges are 7.6324, 7.6324 and 7.6324 Å and the angles 90.00°, 90.00° and 90.00°. The asymmetric unit holds Ba at (0.0000, 0.0000, 0.0000), Nb at (0.0000, 0.0000, 0.5000) and Sb at (0.2500, 0.2500, 0.2500).

The total magnetization is 0.485 μB per atom. Its electronic total energy is -81.35 eV for the cell shown. The calculation puts the energy above the most stable polymorph in this dataset at 140 meV/atom.

=====

Question: What is the electronic total energy in the eighth record?
Answer: -81.35 eV for the cell shown